[1]
{"formula": "LiZr3In", "functional": "PBE", "state": "optimized geometry", "de_polymorph_mev_per_atom": 0, "n_ef_per_ev_cell": 6.371, "e_tot_ev_per_fu": -28.07, "sg": "Pm-3m", "vol_a3_per_cell": 109, "total_magnetization_mub_per_atom": 0.0000, "cell": [[4.7711, 0.0000, 0.0000], [0.0000, 4.7711, 0.0000], [0.0000, 0.0000, 4.7711]], "species": ["Li", "Zr", "Zr", "Zr", "In"], "frac_coords": [[0.0000, 0.0000, 0.0000], [0.0000, 0.0000, 0.5000], [0.0000, 0.5000, 0.0000], [0.5000, 0.0000, 0.0000], [0.5000, 0.5000, 0.5000]]}

=====

[2]
{"formula": "B3SbSe", "functional": "PBE", "state": "optimized geometry", "de_polymorph_mev_per_atom": 0, "n_ef_per_ev_cell": 2.061, "e_tot_ev_per_fu": -18.65, "sg": "Pm-3m", "formation_energy_uncorrected_ev_per_atom": 1.797, "vol_a3_per_cell": 74, "total_magnetization_mub_per_atom": 0.0000, "cell": [[4.1975, 0.0000, 0.0000], [0.0000, 4.1975, 0.0000], [0.0000, 0.0000, 4.1975]], "species": ["B", "B", "B", "Sb", "Se"], "frac_coords": [[0.0000, 0.0000, 0.5000], [0.0000, 0.5000, 0.0000], [0.5000, 0.0000, 0.0000], [0.5000, 0.5000, 0.5000], [0.0000, 0.0000, 0.0000]]}

=====

[3]
{"formula": "TlPbAu", "functional": "PBE", "state": "optimized geometry", "n_ef_per_ev_cell": 4.272, "e_tot_ev_per_fu": -7.70, "sg": "P6_3/mmc", "vol_a3_per_cell": 235, "total_magnetization_mub_per_atom": 0.0000, "cell": [[4.7213, 0.0000, 0.0000], [-2.3607, 4.0888, 0.0000], [0.0000, 0.0000, 12.1506]], "species": ["Tl", "Tl", "Pb", "Pb", "Au", "Au"], "frac_coords": [[0.0000, 0.0000, 0.2500], [0.0000, 0.0000, 0.7500], [0.0000, 0.0000, 0.0000], [0.0000, 0.0000, 0.5000], [0.3333, 0.6667, 0.2500], [0.6667, 0.3333, 0.7500]]}

=====

[4]
{"formula": "TlSi2As", "functional": "PBE", "state": "optimized geometry", "de_polymorph_mev_per_atom": 146, "n_ef_per_ev_cell": 2.779, "e_tot_ev_per_fu": -16.29, "sg": "C2/m", "formation_energy_uncorrected_ev_per_atom": 0.394, "vol_a3_per_cell": 183, "total_magnetization_mub_per_atom": 0.0000, "cell": [[8.9561, 0.0000, 0.0000], [0.0000, 3.5805, 0.0000], [-2.3969, 0.0000, 5.7124]], "species": ["Tl", "Tl", "Si", "Si", "Si", "Si", "As", "As"], "frac_coords": [[0.0000, 0.0000, 0.0000], [0.5000, 0.5000, 0.0000], [0.2356, 0.0000, 0.6348], [0.2644, 0.5000, 0.3652], [0.7356, 0.5000, 0.6348], [0.7644, 0.0000, 0.3652], [0.0000, 0.5000, 0.5000], [0.5000, 0.0000, 0.5000]]}

=====

[5]
{"formula": "Pm4NiI5", "functional": "PBE", "state": "optimized geometry", "n_ef_per_ev_cell": 5.099, "e_tot_ev_per_fu": -43.36, "sg": "C2/m", "formation_energy_uncorrected_ev_per_atom": -1.082, "vol_a3_per_cell": 362, "total_magnetization_mub_per_atom": 0.0000, "cell": [[9.8257, -2.0817, 0.0000], [9.8257, 2.0817, 0.0000], [-2.0073, 0.0000, 8.8496]], "species": ["Pm", "Pm", "Pm", "Pm", "Ni", "I", "I", "I", "I", "I"], "frac_coords": [[0.9996, 0.9996, 0.2031], [0.0004, 0.0004, 0.7969], [0.3560, 0.3560, 0.9249], [0.6440, 0.6440, 0.0751], [0.5000, 0.5000, 0.0000], [0.1670, 0.1670, 0.3471], [0.1754, 0.1754, 0.8253], [0.5000, 0.5000, 0.5000], [0.8246, 0.8246, 0.1747], [0.8330, 0.8330, 0.6529]]}

=====

[6]
{"formula": "LaBiAsSe2", "functional": "PBE", "state": "optimized geometry", "de_polymorph_mev_per_atom": 0, "n_ef_per_ev_cell": 4.122, "e_tot_ev_per_fu": -21.79, "sg": "P4/mmm", "formation_energy_uncorrected_ev_per_atom": -0.273, "vol_a3_per_cell": 158, "total_magnetization_mub_per_atom": 0.0000, "cell": [[5.4322, 0.0000, 0.0000], [0.0000, 5.4322, 0.0000], [0.0000, 0.0000, 5.3663]], "species": ["La", "Bi", "As", "Se", "Se"], "frac_coords": [[0.0000, 0.0000, 0.0000], [0.5000, 0.5000, 0.5000], [0.5000, 0.5000, 0.0000], [0.0000, 0.5000, 0.5000], [0.5000, 0.0000, 0.5000]]}

=====

[7]
{"formula": "TiSbOF2", "functional": "PBE", "state": "optimized geometry", "de_polymorph_mev_per_atom": 1042, "n_ef_per_ev_cell": 9.972, "e_tot_ev_per_fu": -24.54, "sg": "P4/mmm", "formation_energy_uncorrected_ev_per_atom": -0.764, "vol_a3_per_cell": 88, "total_magnetization_mub_per_atom": 0.0176, "cell": [[4.5720, 0.0000, 0.0000], [0.0000, 4.5720, 0.0000], [0.0000, 0.0000, 4.2118]], "species": ["Ti", "Sb", "O", "F", "F"], "frac_coords": [[0.0000, 0.0000, 0.0000], [0.5000, 0.5000, 0.5000], [0.5000, 0.5000, 0.0000], [0.0000, 0.5000, 0.5000], [0.5000, 0.0000, 0.5000]]}